# 1
VASP calculation (PBE) on a relaxed TbNd2CuSe5 crystal.

a = 4.0791 Å, b = 17.7576 Å, c = 12.1718 Å
α = 90.00°, β = 90.00°, γ = 90.00°
With the nearest neighbours (Å) after each atom.
Space group Cmc2_1 (No. 36)
Inequivalent atoms, fractional coordinates:
Tb 0.0000 0.1934 0.0000 x4  6 Se 2.75-2.91
Nd 0.0000 0.1087 0.6754 x4  8 Se 3.04-3.19
Nd 0.0000 0.1218 0.2993 x4  7 Se 2.98-3.34
Cu 0.0000 0.4357 0.4439 x4  4 Se 2.42-2.55
Se 0.0000 0.0422 0.0507 x4  2 Cu 2.45
Se 0.0000 0.2884 0.6645 x4  2 Tb 2.88, 3 Nd 3.07-3.19
Se 0.0000 0.3134 0.3349 x4  1 Cu 2.55
Se 0.0000 0.3570 0.9907 x4  1 Tb 2.91, 4 Nd 3.10-3.12
Se 0.0000 0.4992 0.7695 x4  1 Cu 2.42

Computed properties:
DOS(E_F)	0.15	states/eV/cell
ΔE_f (raw)	-1383	kJ/mol of formula units
calculated volume	881.7	Å³/cell

# 2
VASP calculation (PBE) on a relaxed Tb2NdCuSe5 crystal.

a = 3.9942 Å, b = 18.9785 Å, c = 11.6912 Å
α = 90.00°, β = 90.00°, γ = 90.00°
With the nearest neighbours (Å) after each atom.
Space group Cmc2_1 (No. 36)
Inequivalent atoms, fractional coordinates:
Tb 0.0000 0.0931 0.0000 x4  7 Se 2.94-3.03
Tb 0.0000 0.1110 0.6263 x4  7 Se 2.88-3.15
Nd 0.0000 0.1932 0.3273 x4  6 Se 2.89-3.14, 2 Cu 3.18
Cu 0.0000 0.4325 0.7689 x4  4 Se 2.40-2.46
Se 0.0000 0.0445 0.3796 x4  2 Cu 2.42
Se 0.0000 0.3006 0.0113 x4  2 Tb 2.93, 2 Nd 2.94
Se 0.0000 0.3272 0.6457 x4  1 Cu 2.46
Se 0.0000 0.3584 0.3213 x4  4 Tb 3.03-3.09, 1 Nd 3.14
Se 0.0000 0.4970 0.0982 x4  1 Cu 2.40

Computed properties:
DOS(E_F)	0.58	states/eV/cell
ΔE_f (raw)	-1322	kJ/mol of formula units
calculated volume	886.2	Å³/cell

# 3
VASP calculation (PBE) on a relaxed Nd8CuTe4Se3 crystal.

a = 8.6557 Å, b = 8.6557 Å, c = 21.7849 Å
α = 90.00°, β = 90.00°, γ = 120.00°
With the nearest neighbours (Å) after each atom.
Space group R-3m (No. 166, hexagonal axes)
Inequivalent atoms, fractional coordinates:
Nd 0.0000 0.0000 0.2405 x6  3 Se 2.97, 3 Te 3.22
Nd 0.0068 0.5034 0.2413 x18  1 Cu 2.94, 2 Se 3.00, 3 Te 3.18-3.24
Cu 0.0000 0.0000 0.5000 x3  6 Nd 2.94
Te 0.0000 0.0000 0.0000 x3  6 Nd 3.24
Te 0.0000 0.5000 0.0000 x9  6 Nd 3.18-3.22
Se 0.0000 0.5000 0.5000 x9  6 Nd 2.97-3.00

Computed properties:
DOS(E_F)	22.62	states/eV/cell
ΔE_f (raw)	-2218	kJ/mol of formula units
calculated volume	1413.4	Å³/cell

# 4
VASP calculation (PBE) on a relaxed Nd2TiCuSe5 crystal.

a = 4.0023 Å, b = 17.4302 Å, c = 11.7757 Å
α = 90.00°, β = 90.00°, γ = 90.00°
With the nearest neighbours (Å) after each atom.
Space group Cmc2_1 (No. 36)
Inequivalent atoms, fractional coordinates:
Nd 0.0000 0.1161 0.0000 x4  8 Se 3.01-3.32
Nd 0.0000 0.1258 0.6148 x4  8 Se 2.98-3.28
Ti 0.0000 0.1884 0.3172 x4  6 Se 2.48-2.78
Cu 0.0000 0.4279 0.7528 x4  4 Se 2.40-2.42
Se 0.0000 0.0492 0.3604 x4  2 Cu 2.40, 1 Ti 2.48
Se 0.0000 0.2896 0.9676 x4  2 Ti 2.70
Se 0.0000 0.3023 0.6647 x4  1 Cu 2.42, 2 Ti 2.69
Se 0.0000 0.3477 0.3104 x4  1 Ti 2.78, 4 Nd 3.06-3.09
Se 0.0000 0.4991 0.0803 x4  1 Cu 2.40

Computed properties:
DOS(E_F)	11.01	states/eV/cell
ΔE_f (raw)	-1198	kJ/mol of formula units
calculated volume	821.5	Å³/cell

# 5
VASP calculation (PBE) on a relaxed Nd2TlCuSe4 crystal.

a = 4.2183 Å, b = 14.4886 Å, c = 14.6577 Å
α = 90.00°, β = 90.00°, γ = 90.00°
With the nearest neighbours (Å) after each atom.
Space group Cmcm (No. 63)
Inequivalent atoms, fractional coordinates:
Nd 0.0000 0.1346 0.0640 x8  6 Se 2.91-3.02
Tl 0.0000 0.3899 0.2500 x4  6 Se 3.30-3.40
Cu 0.0000 0.3399 0.7500 x4  4 Se 2.49-2.52
Se 0.0000 0.0653 0.2500 x4  2 Cu 2.52
Se 0.0000 0.2347 0.6159 x8  1 Cu 2.49
Se 0.0000 0.5000 0.0000 x4  4 Nd 3.02

Computed properties:
ΔE_f (raw)	-1013	kJ/mol of formula units
calculated volume	895.8	Å³/cell

# 6
VASP calculation (PBE) on a relaxed Nd2Tl3CuSe6 crystal.

a = 7.4203 Å, b = 12.4210 Å, c = 8.0552 Å
α = 90.00°, β = 111.42°, γ = 90.00°
With the nearest neighbours (Å) after each atom.
Space group C2/m (No. 12)
Inequivalent atoms, fractional coordinates:
Nd 0.0000 0.1616 0.0000 x4  6 Se 2.94-3.04
Tl 0.0000 0.0000 0.5000 x2  6 Se 3.14-3.20
Tl 0.0000 0.3189 0.5000 x4  6 Se 3.16-3.44
Cu 0.0000 0.5000 0.0000 x2  4 Se 2.52
Se 0.2129 0.3539 0.1888 x8  1 Cu 2.52
Se 0.2398 0.0000 0.2500 x4  2 Nd 2.94, 3 Tl 3.14-3.16, 1 Cu 3.26

Computed properties:
DOS(E_F)	14.75	states/eV/cell
ΔE_f (raw)	-1016	kJ/mol of formula units
calculated volume	691.1	Å³/cell

# 7
VASP calculation (PBE) on a relaxed Nd2TmCuSe5 crystal.

a = 4.0622 Å, b = 17.6323 Å, c = 12.1405 Å
α = 90.00°, β = 90.00°, γ = 90.00°
With the nearest neighbours (Å) after each atom.
Space group Cmc2_1 (No. 36)
Inequivalent atoms, fractional coordinates:
Nd 0.0000 0.1091 0.0000 x4  8 Se 3.03-3.15
Nd 0.0000 0.1232 0.6223 x4  7 Se 2.98-3.31
Tm 0.0000 0.1934 0.3239 x4  6 Se 2.71-2.86
Cu 0.0000 0.4351 0.7683 x4  4 Se 2.41-2.54
Se 0.0000 0.0436 0.3751 x4  2 Cu 2.44, 1 Tm 2.71
Se 0.0000 0.2875 0.9846 x4  2 Tm 2.84, 3 Nd 3.07-3.15
Se 0.0000 0.3111 0.6612 x4  1 Cu 2.54, 2 Tm 2.83
Se 0.0000 0.3555 0.3144 x4  1 Tm 2.86, 4 Nd 3.10-3.12
Se 0.0000 0.4993 0.0941 x4  1 Cu 2.41

Computed properties:
DOS(E_F)	0.06	states/eV/cell
ΔE_f (raw)	-1383	kJ/mol of formula units
calculated volume	869.6	Å³/cell

# 8
VASP calculation (PBE) on a relaxed Nd2ZnCuSe5 crystal.

a = 4.0959 Å, b = 16.9645 Å, c = 12.5009 Å
α = 90.00°, β = 90.00°, γ = 90.00°
With the nearest neighbours (Å) after each atom.
Space group Cmc2_1 (No. 36)
Inequivalent atoms, fractional coordinates:
Nd 0.0000 0.1077 0.0000 x4  8 Se 3.00-3.20
Nd 0.0000 0.1375 0.6366 x4  7 Se 3.00-3.10, 1 Cu 3.29
Zn 0.0000 0.4312 0.7633 x4  4 Se 2.45-2.49
Cu 0.0000 0.2004 0.3877 x4  4 Se 2.42-2.52
Se 0.0000 0.0547 0.3697 x4  2 Zn 2.45, 1 Cu 2.48
Se 0.0000 0.2846 0.9881 x4  2 Cu 2.42
Se 0.0000 0.3159 0.6440 x4  1 Zn 2.46
Se 0.0000 0.3405 0.3207 x4  1 Cu 2.52
Se 0.0000 0.4885 0.0967 x4  1 Zn 2.49

Computed properties:
DOS(E_F)	21.67	states/eV/cell
ΔE_f (raw)	-997	kJ/mol of formula units
calculated volume	868.6	Å³/cell